Record 1
The following is a PBE calculation of crystalline PrAl2CdAu2 at its relaxed geometry, from Alexandria.

abc: 4.4891 4.4891 7.2628
angles: 90.00 90.00 120.00
Space group P-3m1 (No. 164)
Asymmetric unit:
1 Pr 0.0000 0.0000 0.0000 (multiplicity 1)
2 Al 0.3333 0.6667 0.2931 (multiplicity 2)
3 Cd 0.0000 0.0000 0.5000 (multiplicity 1)
4 Au 0.3333 0.6667 0.7158 (multiplicity 2)

energy of formation from the pure elements = -0.541 eV/atom
size of the total moment = 0.00 μB/f.u.
density of states at the Fermi level = 2.1 states/eV/f.u.
VASP energy = -3.83 eV per atom

***

Record 2
The following is a PBE calculation of crystalline PrAl2CdAu5 at its relaxed geometry, from Alexandria.

abc: 4.919 4.919 7.864
angles: 90.00 90.00 90.00
Space group P4/mmm (No. 123)
Asymmetric unit:
1 Pr 0.000 0.000 0.000 (multiplicity 1)
2 Al 0.500 0.500 0.337 (multiplicity 2)
3 Cd 0.000 0.000 0.500 (multiplicity 1)
4 Au 0.000 0.500 0.246 (multiplicity 4)
5 Au 0.500 0.500 0.000 (multiplicity 1)

energy of formation from the pure elements = -0.366 eV/atom
size of the total moment = 0.00 μB/f.u.
density of states at the Fermi level = 3.6 states/eV/f.u.
VASP energy = -3.65 eV per atom

***

Record 3
The following is a PBE calculation of crystalline Pr2Al4CdAu3 at its relaxed geometry, from Alexandria.

abc: 4.431 4.431 10.762
angles: 90.00 90.00 90.00
Space group P-4m2 (No. 115)
Asymmetric unit:
1 Pr 0.000 0.500 0.246 (multiplicity 2)
2 Al 0.000 0.000 0.000 (multiplicity 1)
3 Al 0.000 0.500 0.642 (multiplicity 2)
4 Al 0.500 0.500 0.000 (multiplicity 1)
5 Cd 0.000 0.000 0.500 (multiplicity 1)
6 Au 0.000 0.500 0.875 (multiplicity 2)
7 Au 0.500 0.500 0.500 (multiplicity 1)

energy of formation from the pure elements = -0.655 eV/atom
size of the total moment = 0.00 μB/f.u.
density of states at the Fermi level = 5.0 states/eV/f.u.
VASP energy = -4.18 eV per atom

***

Record 4
The following is a PBE calculation of crystalline Pr2Al3CdAu4 at its relaxed geometry, from Alexandria.

abc: 4.488 4.488 10.722
angles: 90.00 90.00 90.00
Space group P-4m2 (No. 115)
Asymmetric unit:
1 Pr 0.000 0.500 0.243 (multiplicity 2)
2 Al 0.000 0.500 0.877 (multiplicity 2)
3 Al 0.500 0.500 0.500 (multiplicity 1)
4 Cd 0.000 0.000 0.500 (multiplicity 1)
5 Au 0.000 0.000 0.000 (multiplicity 1)
6 Au 0.000 0.500 0.645 (multiplicity 2)
7 Au 0.500 0.500 0.000 (multiplicity 1)

energy of formation from the pure elements = -0.652 eV/atom
size of the total moment = 0.00 μB/f.u.
density of states at the Fermi level = 6.2 states/eV/f.u.
VASP energy = -4.13 eV per atom

***

Record 5
The following is a PBE calculation of crystalline Pu2Al3CdAu12 at its relaxed geometry, from Alexandria.

abc: 6.6423 6.6423 31.1966
angles: 90.00 90.00 120.00
Space group R-3m (No. 166, hexagonal axes)
Asymmetric unit:
1 Pu 0.0000 0.0000 0.1385 (multiplicity 6)
2 Al 0.0000 0.5000 0.0000 (multiplicity 9)
3 Cd 0.0000 0.0000 0.5000 (multiplicity 3)
4 Au 0.0378 0.5189 0.8891 (multiplicity 18)
5 Au 0.0519 0.5259 0.6210 (multiplicity 18)

energy of formation from the pure elements = -0.135 eV/atom
size of the total moment = 11.01 μB/f.u.
density of states at the Fermi level = 37.1 states/eV/f.u.
VASP energy = -4.59 eV per atom

***

Record 6
The following is a PBE calculation of crystalline Rb2AlCd6Au at its relaxed geometry, from Alexandria.

abc: 7.524 7.524 7.694
angles: 61.14 60.90 60.18
Space group P-1 (No. 2)
Asymmetric unit:
1 Rb 0.201 0.202 0.393 (multiplicity 2)
2 Al 0.500 0.500 0.500 (multiplicity 1)
3 Cd 0.247 0.251 0.845 (multiplicity 2)
4 Cd 0.256 0.660 0.841 (multiplicity 2)
5 Cd 0.343 0.751 0.156 (multiplicity 2)
6 Au 0.000 0.000 0.000 (multiplicity 1)

energy of formation from the pure elements = -0.056 eV/atom
size of the total moment = 0.00 μB/f.u.
density of states at the Fermi level = 4.8 states/eV/f.u.
VASP energy = -1.50 eV per atom

***

Record 7
The following is a PBE calculation of crystalline RbAlCd2Au at its relaxed geometry, from Alexandria.

abc: 5.471 5.471 5.109
angles: 90.00 90.00 90.00
Space group P4/mmm (No. 123)
Asymmetric unit:
1 Rb 0.000 0.000 0.000 (multiplicity 1)
2 Al 0.500 0.500 0.500 (multiplicity 1)
3 Cd 0.000 0.500 0.500 (multiplicity 2)
4 Au 0.500 0.500 0.000 (multiplicity 1)

energy of formation from the pure elements = -0.013 eV/atom
size of the total moment = 0.00 μB/f.u.
density of states at the Fermi level = 2.2 states/eV/f.u.
VASP energy = -1.98 eV per atom

***

Record 8
The following is a PBE calculation of crystalline SmAlCdAu at its relaxed geometry, from Alexandria.

abc: 7.022 7.022 7.022
angles: 90.00 90.00 90.00
Space group F-43m (No. 216)
Asymmetric unit:
1 Sm 0.000 0.000 0.000 (multiplicity 4)
2 Al 0.000 0.000 0.500 (multiplicity 4)
3 Cd 0.250 0.250 0.750 (multiplicity 4)
4 Au 0.250 0.250 0.250 (multiplicity 4)

energy of formation from the pure elements = -0.448 eV/atom
size of the total moment = 0.00 μB/f.u.
density of states at the Fermi level = 1.8 states/eV/f.u.
VASP energy = -3.61 eV per atom